Density functional theory data (PBE) for crystalline Mg2TeRu at its relaxed geometry.

Values from the calculation:
Mass density: 5.70 Mg/m³

```
Mg2TeRu
1.0
-0.029 -4.143 -0.932
2.707 -0.515 2.204
-2.086 -1.145 5.157
Mg Ru Te
2 1 1
Direct
0.500 0.287 0.304 Mg
0.000 0.954 0.965 Mg
0.000 0.699 0.478 Ru
0.500 0.560 0.754 Te
```

Density functional theory data (PBE) for crystalline Mg4TeRu at its relaxed geometry.

Values from the calculation:
Mass density: 4.47 Mg/m³

```
Mg4TeRu
1.0
0.000 3.927 3.927
3.927 0.000 3.927
3.927 3.927 0.000
Te Mg Ru
1 4 1
Direct
0.000 0.000 0.000 Te
0.871 0.376 0.376 Mg
0.376 0.871 0.376 Mg
0.376 0.376 0.871 Mg
0.376 0.376 0.376 Mg
0.750 0.750 0.750 Ru
```

Density functional theory data (PBE) for crystalline Mg2TeRu at its relaxed geometry.

Values from the calculation:
Mass density: 5.35 Mg/m³

```
Mg2TeRu
1.0
3.196 -0.001 0.000
0.000 3.196 0.000
0.000 0.000 8.425
Te Mg Ru
1 2 1
Direct
0.500 0.500 0.680 Te
0.000 0.000 0.020 Mg
0.500 0.500 0.294 Mg
0.000 0.000 0.506 Ru
```

Density functional theory data (PBE) for crystalline MgTeRu2 at its relaxed geometry.

Values from the calculation:
Mass density: 7.62 Mg/m³
Energy above the most stable polymorph in this dataset: 0.6051 eV per atom

```
MgTeRu2
1.0
7.289 0.000 0.000
0.000 7.289 0.000
3.644 3.644 2.905
Te Ru Mg
2 4 2
Direct
0.000 0.000 0.000 Te
0.750 0.250 0.500 Te
0.375 0.334 0.750 Ru
0.084 0.625 0.250 Ru
0.666 0.125 0.250 Ru
0.875 0.916 0.750 Ru
0.500 0.500 0.000 Mg
0.250 0.750 0.500 Mg
```

Density functional theory data (PBE) for crystalline MgTeRu2 at its relaxed geometry.

Values from the calculation:
Mass density: 9.29 Mg/m³
Energy above the most stable polymorph in this dataset: 0.0000 eV per atom

```
MgTeRu2
1.0
0.000 3.163 3.163
3.163 0.000 3.163
3.163 3.163 0.000
Te Mg Ru
1 1 2
Direct
0.500 0.500 0.500 Te
0.000 0.000 0.000 Mg
0.250 0.250 0.250 Ru
0.750 0.750 0.750 Ru
```

Density functional theory data (PBE) for crystalline MgTeRu at its relaxed geometry.

Values from the calculation:
Mass density: 6.87 Mg/m³
Energy above the most stable polymorph in this dataset: 0.1296 eV per atom

```
MgTeRu
1.0
4.423 0.000 0.000
2.211 3.830 0.000
2.211 1.277 3.611
Ru Te Mg
1 1 1
Direct
0.750 0.750 0.750 Ru
0.000 0.000 0.000 Te
0.500 0.500 0.500 Mg
```

Density functional theory data (PBE) for crystalline Mg2TeRu at its relaxed geometry.

Values from the calculation:
Mass density: 6.26 Mg/m³

```
Mg2TeRu
1.0
5.292 -0.009 -0.207
2.194 4.816 0.207
-3.626 -2.586 2.866
Te Mg Ru
1 2 1
Direct
0.250 0.750 0.500 Te
0.000 0.000 0.000 Mg
0.500 0.500 0.000 Mg
0.750 0.250 0.500 Ru
```

Density functional theory data (PBE) for crystalline MgTeRu2 at its relaxed geometry.

Values from the calculation:
Mass density: 8.62 Mg/m³
Energy above the most stable polymorph in this dataset: 0.2737 eV per atom

```
MgTeRu2
1.0
3.482 0.000 0.000
0.000 3.482 0.000
0.000 0.000 5.625
Ru Mg Te
2 1 1
Direct
0.000 0.000 0.977 Ru
0.500 0.500 0.270 Ru
0.500 0.500 0.783 Mg
0.000 0.000 0.470 Te
```

Density functional theory data (PBE) for crystalline MgTeRu2 at its relaxed geometry.

Values from the calculation:
Mass density: 8.60 Mg/m³
Energy above the most stable polymorph in this dataset: 0.4375 eV per atom

```
MgTeRu2
1.0
4.589 0.000 0.000
2.295 3.974 0.000
2.295 1.325 3.747
Te Mg Ru
1 1 2
Direct
0.750 0.750 0.750 Te
0.500 0.500 0.500 Mg
0.000 0.000 0.000 Ru
0.250 0.250 0.250 Ru
```

Density functional theory data (PBE) for crystalline MgTe3Ru at its relaxed geometry.

Values from the calculation:
Mass density: 5.81 Mg/m³
Energy above the most stable polymorph in this dataset: 0.0000 eV per atom

```
MgTe3Ru
1.0
5.256 0.000 0.000
0.000 5.256 0.000
0.000 0.000 5.256
Ru Te Mg
1 3 1
Direct
0.000 0.000 0.000 Ru
0.500 0.000 0.000 Te
0.000 0.500 0.000 Te
0.000 0.000 0.500 Te
0.500 0.500 0.500 Mg
```

Density functional theory data (PBE) for crystalline MgTeRu2 at its relaxed geometry.

Values from the calculation:
Mass density: 8.98 Mg/m³
Energy above the most stable polymorph in this dataset: 0.2441 eV per atom

```
MgTeRu2
1.0
5.154 -0.001 0.000
2.246 4.638 0.000
-3.700 -2.319 2.737
Ru Te Mg
2 1 1
Direct
0.250 0.750 0.500 Ru
0.000 0.000 0.000 Ru
0.500 0.500 0.000 Te
0.750 0.250 0.500 Mg
```

Density functional theory data (PBE) for crystalline MgTeRu2 at its relaxed geometry.

Values from the calculation:
Mass density: 8.93 Mg/m³
Energy above the most stable polymorph in this dataset: 0.1250 eV per atom

```
MgTeRu2
1.0
5.016 0.002 -0.010
4.021 3.000 -0.010
1.373 0.456 4.373
Te Ru Mg
1 2 1
Direct
0.491 0.491 0.558 Te
0.750 0.750 0.683 Ru
0.001 0.001 0.078 Ru
0.258 0.258 0.182 Mg
```

Volume values (in A^3/atom) by entry order: 20.19 20.19 21.51 19.29 15.83 20.39 18.38 17.05 17.09 29.04 16.36 16.45.
Size of the total moment values (in Bohr magnetons per cell) by entry order: 0.00 0.00 0.00 0.00 0.00 0.00 0.00 0.63 1.30 0.88 0.00 0.00.
Raw formation energy values (in eV/atom) by entry order: -0.06 0.28 -0.03 0.55 -0.05 -0.10 -0.01 0.22 0.38 0.34 0.19 0.07.